# 1
## Dy2B4O9 (PBE)

Data for crystalline Dy2B4O9 at its relaxed geometry.

abc: 6.129 6.387 7.452
angles: 102.68 97.27 102.55
Sites, in units of the cell vectors:
Dy 0.049 0.092 0.287
Dy 0.388 0.677 0.360
Dy 0.612 0.323 0.640
Dy 0.951 0.908 0.713
B 0.126 0.357 0.650
B 0.161 0.684 0.928
B 0.234 0.334 0.981
B 0.495 0.144 0.190
B 0.505 0.856 0.810
B 0.766 0.666 0.019
B 0.839 0.316 0.072
B 0.874 0.643 0.350
O 0.004 0.791 0.022
O 0.038 0.539 0.747
O 0.082 0.819 0.446
O 0.266 0.263 0.788
O 0.276 0.573 0.041
O 0.280 0.407 0.522
O 0.312 0.873 0.881
O 0.363 0.285 0.145
O 0.432 0.044 0.326
O 0.568 0.956 0.674
O 0.637 0.715 0.855
O 0.688 0.127 0.119
O 0.720 0.593 0.478
O 0.724 0.427 0.959
O 0.734 0.737 0.212
O 0.918 0.181 0.554
O 0.962 0.461 0.253
O 0.996 0.209 0.978

As for the space group: P-1 (2). The calculation puts the density at 6.23 g cm⁻³. The calculated total energy is -0.30261 hartree per atom.


# 2
## Na2NiAu (PBE)

Data for crystalline Na2NiAu at its relaxed geometry.

abc: 4.521 4.521 15.453
angles: 90.00 90.00 90.00
Sites, in units of the cell vectors:
Na 0.000 0.000 0.139
Na 0.000 0.000 0.861
Na 0.000 0.500 0.000
Na 0.000 0.500 0.500
Na 0.500 0.000 0.000
Na 0.500 0.000 0.500
Na 0.500 0.500 0.361
Na 0.500 0.500 0.639
Ni 0.000 0.000 0.339
Ni 0.000 0.000 0.661
Ni 0.500 0.500 0.161
Ni 0.500 0.500 0.839
Au 0.000 0.500 0.250
Au 0.000 0.500 0.750
Au 0.500 0.000 0.250
Au 0.500 0.000 0.750

As for the space group: I4/mmm (139). The calculation puts the density at 6.34 g cm⁻³. The calculated total energy is -0.09831 hartree per atom.